(1)
Density functional theory data (PBE) for an optimized crystal structure of MgAsO.

Unit cell a=5.4198 b=3.4433 c=6.1476 alpha=90.00 beta=97.15 gamma=90.00
Last column: nearest neighbours and their distance in Å.
Space group Pm (No. 6)
Asymmetric unit:
Mg: 0.0000 0.0000 0.0000  3 O 1.93-2.04
Mg: 0.4966 0.5000 0.8551  3 O 1.92-2.05
As: 0.2686 0.5000 0.4345  2 As 2.44, 1 Mg 2.72
As: 0.5282 0.0000 0.2986  1 O 1.98
O: 0.3738 0.0000 0.9890  1 As 1.98, 3 Mg 2.04-2.05
O: 0.8522 0.5000 0.9241  3 Mg 1.92-1.93

Results
total magnetic moment: 0.00 μB/cell
formation energy without anion corrections: -1.457 eV/atom
final energy: -31.15 eV/cell
density: 3.362 g/cm3


(2)
Density functional theory data (PBE) for an optimized crystal structure of MgAs2O.

Unit cell a=6.3540 b=6.3540 c=6.3540 alpha=90.00 beta=90.00 gamma=90.00
Last column: nearest neighbours and their distance in Å.
Space group Fm-3m (No. 225)
Asymmetric unit:
Mg: 0.0000 0.0000 0.0000  8 As 2.75
As: 0.2500 0.2500 0.2500  4 O 2.75, 4 Mg 2.75
O: 0.0000 0.0000 0.5000  8 As 2.75

Results
total magnetic moment: 0.00 μB/cell
formation energy without anion corrections: 0.277 eV/atom
final energy: -58.98 eV/cell
density: 4.923 g/cm3


(3)
Density functional theory data (PBE) for an optimized crystal structure of Mg2AsO.

Unit cell a=5.8052 b=5.8052 c=8.4524 alpha=90.00 beta=90.00 gamma=90.00
Last column: nearest neighbours and their distance in Å.
Space group I-42d (No. 122)
Asymmetric unit:
Mg: 0.1488 0.2500 0.1250  2 O 1.99
As: 0.0000 0.0000 0.5000  4 Mg 2.72
O: 0.0000 0.0000 0.0000  4 Mg 1.99

Results
total magnetic moment: 2.85 μB/cell
formation energy without anion corrections: -1.319 eV/atom
final energy: -72.28 eV/cell
density: 3.254 g/cm3


(4)
Density functional theory data (PBE) for an optimized crystal structure of Mg2AsO.

Unit cell a=3.2557 b=3.2557 c=18.9965 alpha=90.00 beta=90.00 gamma=120.00
Last column: nearest neighbours and their distance in Å.
Space group R-3m (No. 166, hexagonal axes)
Asymmetric unit:
Mg: 0.0000 0.0000 0.2299  3 O 2.23
As: 0.0000 0.0000 0.0000  6 Mg 2.72
O: 0.0000 0.0000 0.5000  6 Mg 2.23

Results
total magnetic moment: 0.00 μB/cell
formation energy without anion corrections: -1.365 eV/atom
final energy: -54.77 eV/cell
density: 3.986 g/cm3


(5)
Density functional theory data (PBE) for an optimized crystal structure of MgAsO.

Unit cell a=3.3852 b=3.8956 c=8.0633 alpha=90.00 beta=98.48 gamma=90.00
Last column: nearest neighbours and their distance in Å.
Space group P2_1 (No. 4)
Asymmetric unit:
Mg: 0.2286 0.0000 0.4405  4 O 1.95-2.02
As: 0.4309 0.5084 0.9028  2 As 2.50
O: 0.2227 0.5001 0.4210  4 Mg 1.95-2.02

Results
total magnetic moment: 0.00 μB/cell
formation energy without anion corrections: -1.386 eV/atom
final energy: -30.72 eV/cell
density: 3.639 g/cm3


(6)
Density functional theory data (PBE) for an optimized crystal structure of MgAs3O.

Unit cell a=4.8855 b=4.8855 c=4.8855 alpha=90.00 beta=90.00 gamma=90.00
Last column: nearest neighbours and their distance in Å.
Space group Pm-3m (No. 221)
Asymmetric unit:
Mg: 0.0000 0.0000 0.0000  6 As 2.44
As: 0.0000 0.0000 0.5000  2 Mg 2.44
O: 0.5000 0.5000 0.5000  12 As 3.45

Results
total magnetic moment: 0.00 μB/cell
formation energy without anion corrections: 1.203 eV/atom
final energy: -14.49 eV/cell
density: 3.775 g/cm3


(7)
Density functional theory data (PBE) for an optimized crystal structure of MgAsP2O.

Unit cell a=4.9376 b=4.9376 c=3.6383 alpha=90.00 beta=90.00 gamma=90.00
Last column: nearest neighbours and their distance in Å.
Space group P4/mmm (No. 123)
Asymmetric unit:
Mg: 0.0000 0.0000 0.0000  2 O 1.82
As: 0.5000 0.5000 0.5000  8 P 3.07
P: 0.0000 0.5000 0.0000  2 Mg 2.47
O: 0.0000 0.0000 0.5000  2 Mg 1.82

Results
total magnetic moment: 0.00 μB/cell
formation energy without anion corrections: 0.379 eV/atom
final energy: -20.13 eV/cell
density: 3.317 g/cm3


(8)
Density functional theory data (PBE) for an optimized crystal structure of MgAsP2O.

Unit cell a=4.9299 b=4.9299 c=3.6241 alpha=90.00 beta=90.00 gamma=90.00
Last column: nearest neighbours and their distance in Å.
Space group P4/mmm (No. 123)
Asymmetric unit:
Mg: 0.0000 0.0000 0.0000  8 P 3.06
As: 0.5000 0.5000 0.5000  2 O 1.81
P: 0.0000 0.5000 0.5000  2 As 2.46
O: 0.5000 0.5000 0.0000  2 As 1.81

Results
total magnetic moment: 0.00 μB/cell
formation energy without anion corrections: 0.138 eV/atom
final energy: -21.33 eV/cell
density: 3.340 g/cm3


(9)
Density functional theory data (PBE) for an optimized crystal structure of MgPaAs2O8.

Unit cell a=6.9991 b=6.9991 c=6.4695 alpha=90.00 beta=90.00 gamma=90.00
Last column: nearest neighbours and their distance in Å.
Space group I-4m2 (No. 119)
Asymmetric unit:
Mg: 0.0000 0.0000 0.0000  8 O 2.25-2.40
Pa: 0.0000 0.5000 0.7500  8 O 2.22-2.45
As: 0.0000 0.0000 0.5000  4 O 1.80
As: 0.0000 0.5000 0.2500  4 O 1.73
O: 0.0000 0.1883 0.6899  1 As 1.80
O: 0.0000 0.3148 0.0722  1 As 1.73

Results
total magnetic moment: 1.88 μB/cell
formation energy without anion corrections: -2.050 eV/atom
final energy: -169.31 eV/cell
density: 5.587 g/cm3


(10)
Density functional theory data (PBE) for an optimized crystal structure of Mg2PaAsO8.

Unit cell a=4.6705 b=6.5269 c=4.6793 alpha=90.00 beta=90.88 gamma=90.00
Last column: nearest neighbours and their distance in Å.
Space group P2/m (No. 10)
Asymmetric unit:
Mg: 0.0000 0.2345 0.0000  6 O 2.07-2.14
Pa: 0.5000 0.5000 0.5000  6 O 2.03-2.27
As: 0.5000 0.0000 0.5000  6 O 1.83-1.87
O: 0.1896 0.5000 0.1913  1 Pa 2.03, 2 Mg 2.14
O: 0.2204 0.0000 0.2221  1 As 1.83
O: 0.3110 0.2103 0.6901  1 As 1.87, 1 Mg 2.07

Results
total magnetic moment: 1.81 μB/cell
formation energy without anion corrections: -2.132 eV/atom
final energy: -82.59 eV/cell
density: 5.618 g/cm3


(11)
Density functional theory data (PBE) for an optimized crystal structure of MgAsPbO5.

Unit cell a=7.1556 b=8.7820 c=8.0355 alpha=90.00 beta=111.06 gamma=90.00
Last column: nearest neighbours and their distance in Å.
Space group C2/c (No. 15)
Asymmetric unit:
Mg: 0.0000 0.1674 0.2500  3 O 1.99-2.15
As: 0.0000 0.1602 0.7500  4 O 1.72-1.74
Pb: 0.0000 0.5000 0.0000  6 O 2.21-2.43
O: 0.0000 0.3940 0.2500  1 Mg 1.99, 2 Pb 2.21
O: 0.1387 0.0278 0.9069  1 As 1.74
O: 0.1467 0.2757 0.6733  1 As 1.72

Results
total magnetic moment: 0.00 μB/cell
formation energy without anion corrections: -1.416 eV/atom
final energy: -184.29 eV/cell
density: 5.447 g/cm3


(12)
Density functional theory data (PBE) for an optimized crystal structure of MgAs2PdO6.

Unit cell a=9.7736 b=7.9841 c=6.4740 alpha=90.00 beta=111.64 gamma=90.00
Last column: nearest neighbours and their distance in Å.
Space group C2/c (No. 15)
Asymmetric unit:
Mg: 0.0000 0.1237 0.2500  4 O 2.06-2.14
As: 0.1884 0.4726 0.2373  4 O 1.75-1.86
Pd: 0.0000 0.3024 0.7500  2 O 2.07
O: 0.1028 0.2904 0.0929  1 As 1.76
O: 0.1213 0.0613 0.6739  1 As 1.75
O: 0.1805 0.3939 0.5025  2 As 1.83-1.86

Results
total magnetic moment: 0.00 μB/cell
formation energy without anion corrections: -1.214 eV/atom
final energy: -231.91 eV/cell
density: 5.326 g/cm3


(13)
Density functional theory data (PBE) for an optimized crystal structure of PmMgAs2O8.

Unit cell a=5.0153 b=5.0153 c=11.4702 alpha=90.00 beta=90.00 gamma=90.00
Last column: nearest neighbours and their distance in Å.
Space group I-4 (No. 82)
Asymmetric unit:
Pm: 0.0000 0.0000 0.0000  8 O 2.38-2.48
Mg: 0.0000 0.5000 0.7500  8 O 2.28-2.41
As: 0.0000 0.0000 0.5000  4 O 1.73
As: 0.0000 0.5000 0.2500  4 O 1.74
O: 0.1420 0.2520 0.5816  1 As 1.73
O: 0.1584 0.7557 0.1750  1 As 1.74

Results
total magnetic moment: 2.16 μB/cell
formation energy without anion corrections: -1.860 eV/atom
final energy: -155.27 eV/cell
density: 5.147 g/cm3


(14)
Density functional theory data (PBE) for an optimized crystal structure of PmMgAsO5.

Unit cell a=8.4384 b=8.9298 c=7.9845 alpha=90.00 beta=118.36 gamma=90.00
Last column: nearest neighbours and their distance in Å.
Space group C2/c (No. 15)
Asymmetric unit:
Pm: 0.0000 0.0000 0.0000  6 O 2.24-2.42
Mg: 0.0000 0.3229 0.2500  3 O 1.88-2.03
As: 0.0000 0.3693 0.7500  4 O 1.71-1.75
O: 0.0000 0.1129 0.2500  1 Mg 1.88
O: 0.0037 0.2631 0.5733  1 As 1.71
O: 0.1738 0.4988 0.3407  1 As 1.75

Results
total magnetic moment: 0.00 μB/cell
formation energy without anion corrections: -2.276 eV/atom
final energy: -215.99 eV/cell
density: 4.067 g/cm3


(15)
Density functional theory data (PBE) for an optimized crystal structure of PrMgAs2O8.

Unit cell a=5.4486 b=5.4486 c=6.9127 alpha=90.00 beta=90.00 gamma=120.00
Last column: nearest neighbours and their distance in Å.
Space group P-3m1 (No. 164)
Asymmetric unit:
Pr: 0.0000 0.0000 0.0000  6 O 2.53
Mg: 0.0000 0.0000 0.5000  6 O 2.07
As: 0.3333 0.6667 0.2250  4 O 1.71-1.72
O: 0.1596 0.3191 0.2949  1 As 1.71
O: 0.3333 0.6667 0.9763  1 As 1.72

Results
total magnetic moment: 1.01 μB/cell
formation energy without anion corrections: -1.828 eV/atom
final energy: -77.27 eV/cell
density: 4.140 g/cm3


(16)
Density functional theory data (PBE) for an optimized crystal structure of PrMg3As4O12.

Unit cell a=10.6589 b=10.6589 c=7.8720 alpha=90.00 beta=90.00 gamma=120.00
Last column: nearest neighbours and their distance in Å.
Space group R32 (No. 155, hexagonal axes)
Asymmetric unit:
Pr: 0.0000 0.0000 0.0000  6 O 2.43
Mg: 0.0000 0.5778 0.0000  6 O 2.08-2.15
As: 0.0000 0.0000 0.5000  3 O 1.69
As: 0.0000 0.4053 0.5000  3 O 1.76-1.83
O: 0.0000 0.5705 0.5000  1 As 1.76
O: 0.0000 0.8418 0.5000  1 As 1.69
O: 0.0513 0.1909 0.2035  1 As 1.83

Results
total magnetic moment: 0.00 μB/cell
formation energy without anion corrections: -1.665 eV/atom
final energy: -362.87 eV/cell
density: 4.538 g/cm3


(17)
Density functional theory data (PBE) for an optimized crystal structure of Mg2AsPtO6.

Unit cell a=5.3366 b=5.3366 c=4.4584 alpha=90.00 beta=90.00 gamma=90.00
Last column: nearest neighbours and their distance in Å.
Space group P4mm (No. 99)
Asymmetric unit:
Mg: 0.0000 0.5000 0.0000  4 O 2.12
As: 0.0000 0.0000 0.6436  5 O 1.69-1.88
Pt: 0.5000 0.5000 0.6884  6 O 2.05-2.28
O: 0.0000 0.0000 0.2642  1 As 1.69
O: 0.2340 0.2340 0.7855  1 As 1.88, 1 Pt 2.05
O: 0.5000 0.5000 0.2001  2 Pt 2.18-2.28

Results
total magnetic moment: 0.00 μB/cell
formation energy without anion corrections: -1.227 eV/atom
final energy: -55.90 eV/cell
density: 5.422 g/cm3


(18)
Density functional theory data (PBE) for an optimized crystal structure of Rb3MgAs2O6.

Unit cell a=5.9315 b=5.9315 c=7.3176 alpha=90.00 beta=90.00 gamma=120.00
Last column: nearest neighbours and their distance in Å.
Space group P-3m1 (No. 164)
Asymmetric unit:
Rb: 0.0000 0.0000 0.0000  6 O 2.98
Rb: 0.3333 0.6667 0.6811  9 O 2.97-3.07, 1 As 3.27
Mg: 0.0000 0.0000 0.5000  6 O 2.19
As: 0.3333 0.6667 0.2348  3 O 1.77
O: 0.1740 0.3479 0.3260  1 As 1.77

Results
total magnetic moment: 1.03 μB/cell
formation energy without anion corrections: -1.626 eV/atom
final energy: -63.06 eV/cell
density: 3.922 g/cm3


(19)
Density functional theory data (PBE) for an optimized crystal structure of Rb2MgAsO4.

Unit cell a=5.3215 b=12.6759 c=21.6731 alpha=90.00 beta=90.00 gamma=90.00
Last column: nearest neighbours and their distance in Å.
Space group Fddd (No. 70, origin choice 2)
Asymmetric unit:
Rb: 0.1250 0.1250 0.3018  8 O 3.26-3.57
Mg: 0.1250 0.1250 0.1250  4 O 1.99
As: 0.1250 0.1250 0.6250  4 O 1.83
O: 0.1032 0.2928 0.8341  1 As 1.83, 1 Mg 1.99

Results
total magnetic moment: 0.00 μB/cell
formation energy without anion corrections: -1.547 eV/atom
final energy: -323.11 eV/cell
density: 3.036 g/cm3


(20)
Density functional theory data (PBE) for an optimized crystal structure of Rb2MgAsO.

Unit cell a=6.9973 b=6.9973 c=3.9474 alpha=90.00 beta=90.00 gamma=90.00
Last column: nearest neighbours and their distance in Å.
Space group P4/mmm (No. 123)
Asymmetric unit:
Rb: 0.0000 0.5000 0.0000  2 As 3.50
Mg: 0.0000 0.0000 0.5000  2 Mg 3.95, 8 Rb 4.02
As: 0.5000 0.5000 0.0000  2 O 1.97
O: 0.5000 0.5000 0.5000  2 As 1.97

Results
total magnetic moment: 0.00 μB/cell
formation energy without anion corrections: -0.093 eV/atom
final energy: -13.60 eV/cell
density: 2.459 g/cm3


(21)
Density functional theory data (PBE) for an optimized crystal structure of MgAsRhO4.

Unit cell a=5.9548 b=6.8120 c=8.2823 alpha=90.00 beta=90.00 gamma=90.00
Last column: nearest neighbours and their distance in Å.
Space group Imma (No. 74)
Asymmetric unit:
Mg: 0.0000 0.0000 0.0000  6 O 2.03-2.26
As: 0.0000 0.2500 0.3621  2 O 1.86
Rh: 0.2500 0.2500 0.7500  6 O 2.05-2.10
O: 0.0000 0.0429 0.7580  1 Mg 2.03, 2 Rh 2.05, 1 As 2.23
O: 0.2493 0.2500 0.4966  1 As 1.86

Results
total magnetic moment: 0.00 μB/cell
formation energy without anion corrections: -1.365 eV/atom
final energy: -171.93 eV/cell
density: 5.261 g/cm3


(22)
Density functional theory data (PBE) for an optimized crystal structure of Mg2AsRhO6.

Unit cell a=5.2907 b=5.2907 c=4.4323 alpha=90.00 beta=90.00 gamma=90.00
Last column: nearest neighbours and their distance in Å.
Space group P4mm (No. 99)
Asymmetric unit:
Mg: 0.0000 0.5000 0.0000  4 O 2.10
As: 0.0000 0.0000 0.6466  5 O 1.69-1.87
Rh: 0.5000 0.5000 0.6767  5 O 2.02-2.04
O: 0.0000 0.0000 0.2646  1 As 1.69
O: 0.2355 0.2355 0.7868  1 As 1.87, 1 Rh 2.04
O: 0.5000 0.5000 0.2210  1 Rh 2.02

Results
total magnetic moment: 0.57 μB/cell
formation energy without anion corrections: -1.327 eV/atom
final energy: -58.21 eV/cell
density: 4.316 g/cm3